a | {"formula": "SrRh2N2", "functional": "PBE-GGA", "state": "relaxed", "space_group": "No. 139", "magmom_total_mub_per_cell": 0.0, "lattice": [[-1.993, 1.993, 4.493], [1.993, -1.993, 4.493], [1.993, 1.993, -4.493]], "species": ["Sr", "Rh", "Rh", "N", "N"], "fractional_positions": [[0.000, 0.000, 0.000], [0.327, 0.327, 0.000], [0.673, 0.673, 0.000], [0.250, 0.750, 0.500], [0.750, 0.250, 0.500]]}

=====

b | {"formula": "SrRh2N2", "functional": "PBE-GGA", "state": "relaxed", "space_group": "No. 127", "magmom_total_mub_per_cell": 0.0, "lattice": [[7.563, 0.000, 0.000], [0.000, 7.563, 0.000], [0.000, 0.000, 3.406]], "species": ["Sr", "Sr", "Rh", "Rh", "Rh", "Rh", "N", "N", "N", "N"], "fractional_positions": [[0.000, 0.000, 0.000], [0.500, 0.500, 0.000], [0.117, 0.383, 0.000], [0.383, 0.883, 0.000], [0.617, 0.117, 0.000], [0.883, 0.617, 0.000], [0.187, 0.313, 0.500], [0.313, 0.813, 0.500], [0.687, 0.187, 0.500], [0.813, 0.687, 0.500]]}

=====

Most stable pick: a. Distance to second place: 19.3 kJ/mol of atoms.